A relaxed structure of Li2Zn2Ga2AgIr. Source: the Open Quantum Materials Database, functional PBE.

## Properties
Its total energy is -3.33 eV/atom. As for the crystal system: tetragonal.

Lattice parameters (Å, degrees): 4.3413 4.3413 6.1955 90.00 90.00 90.00
Space group P-4m2 (No. 115)
Unique sites:
1 Li 0.0000 0.0000 0.0000
2 Li 0.5000 0.5000 0.5000
3 Zn 0.0000 0.5000 0.7395
4 Ga 0.0000 0.5000 0.2695
5 Ag 0.5000 0.5000 0.0000
6 Ir 0.0000 0.0000 0.5000

=====

A relaxed structure of LaSnAuSe2S. Source: the Open Quantum Materials Database, functional PBE.

## Properties
Its total energy is -4.82 eV/atom. As for the crystal system: orthorhombic.

Lattice parameters (Å, degrees): 4.1660 13.6674 10.7599 90.00 90.00 90.00
Space group Cmcm (No. 63)
Unique sites:
1 La 0.0000 0.0000 0.0000
2 Sn 0.0000 0.2485 0.2500
3 Au 0.0000 0.4735 0.7500
4 Se 0.0000 0.3463 0.5672
5 S 0.0000 0.0877 0.7500

=====

A relaxed structure of AcInPd. Source: the Open Quantum Materials Database, functional PBE.

## Properties
Its total energy is -4.60 eV/atom. As for the crystal system: cubic.

Lattice parameters (Å, degrees): 7.0711 7.0711 7.0711 90.00 90.00 90.00
Space group F-43m (No. 216)
Unique sites:
1 Ac 0.0000 0.0000 0.0000
2 In 0.0000 0.0000 0.5000
3 Pd 0.2500 0.2500 0.2500

=====

A relaxed structure of Sr2NbIrN2O4. Source: the Open Quantum Materials Database, functional PBE.

## Properties
Its total energy is -7.53 eV/atom. As for the crystal system: monoclinic.

Lattice parameters (Å, degrees): 5.6796 5.6478 7.9778 90.00 90.01 90.00
Space group P2_1 (No. 4)
Unique sites:
1 Sr 0.2284 0.0000 0.0019
2 Sr 0.2309 0.9880 0.5029
3 Nb 0.2779 0.4938 0.7485
4 Ir 0.2658 0.4947 0.2518
5 N 0.4802 0.2378 0.2658
6 N 0.4992 0.7352 0.2659
7 O 0.0116 0.7585 0.2332
8 O 0.0147 0.7622 0.7674
9 O 0.2101 0.4972 0.4973
10 O 0.2786 0.4940 0.0032

=====

A relaxed structure of PmScAg. Source: the Open Quantum Materials Database, functional PBE.

## Properties
The calculation puts the formation energy at 0.599 eV/atom. As for the crystal system: cubic.

Lattice parameters (Å, degrees): 6.8886 6.8886 6.8886 90.00 90.00 90.00
Space group F-43m (No. 216)
Unique sites:
1 Pm 0.0000 0.0000 0.0000
2 Sc 0.2500 0.2500 0.2500
3 Ag 0.2500 0.2500 0.7500

=====

A relaxed structure of PmNpGe. Source: the Open Quantum Materials Database, functional PBE.

## Properties
Its total energy is -6.84 eV/atom. As for the crystal system: cubic.

Lattice parameters (Å, degrees): 6.7678 6.7678 6.7678 90.00 90.00 90.00
Space group F-43m (No. 216)
Unique sites:
1 Pm 0.0000 0.0000 0.0000
2 Np 0.2500 0.2500 0.7500
3 Ge 0.0000 0.0000 0.5000

=====

A relaxed structure of DyTmIn4Fe2. Source: the Open Quantum Materials Database, functional PBE.

## Properties
Its total energy is -4.73 eV/atom. As for the crystal system: orthorhombic.

Lattice parameters (Å, degrees): 7.5601 4.2713 10.5475 90.00 90.00 90.00
Space group Amm2 (No. 38)
Unique sites:
1 Dy 0.0000 0.0000 0.0000
2 Tm 0.5000 0.0000 0.1359
3 In 0.2013 0.0000 0.7086
4 In 0.3005 0.0000 0.4272
5 Fe 0.0000 0.0000 0.2799
6 Fe 0.5000 0.0000 0.8562

=====

A relaxed structure of IrOsAu. Source: the Open Quantum Materials Database, functional PBE.

## Properties
The calculation puts the formation energy at 0.844 eV/atom. As for the crystal system: cubic.

Lattice parameters (Å, degrees): 6.0149 6.0149 6.0149 90.00 90.00 90.00
Space group F-43m (No. 216)
Unique sites:
1 Ir 0.0000 0.0000 0.0000
2 Os 0.2500 0.2500 0.7500
3 Au 0.2500 0.2500 0.2500

=====

What is the formula in the fifth record?
PmScAg